[1]
Ce2YEr after structural relaxation. Source: Alexandria, functional PBE.

Computed properties:
The total magnetization comes out at 1.56 μB per cell. The value obtained for the volume is 121.8 Å³/f.u. As for the symmetry: P4/mmm (123). The value obtained for the energy of formation from the pure elements is 0.1122 eV/atom. The value obtained for the energy relative to the lowest polymorph listed for this composition is 7 kJ/mol of formula units. As for the raw total energy: -5.612 eV/atom.

a = 3.468 Å, b = 3.468 Å, c = 10.126 Å
α = 90.00°, β = 90.00°, γ = 90.00°
Each line ends with the local moment (μB).
Fractional coordinates of all 4 atoms:
1 Ce 0.000 0.000 0.753  0.62
2 Ce 0.000 0.000 0.247  0.62
3 Er 0.500 0.500 0.000  0.04
4 Y 0.500 0.500 0.500  0.02



[2]
Ce2YEr after structural relaxation. Source: Alexandria, functional PBE.

Computed properties:
The total magnetization comes out at 1.59 μB per cell. The value obtained for the volume is 121.8 Å³/f.u. As for the symmetry: P4/mmm (123). The value obtained for the energy of formation from the pure elements is 0.1122 eV/atom. The value obtained for the energy relative to the lowest polymorph listed for this composition is 7 kJ/mol of formula units. As for the raw total energy: -5.611 eV/atom.

a = 5.047 Å, b = 4.913 Å, c = 4.913 Å
α = 90.00°, β = 90.00°, γ = 90.00°
Each line ends with the local moment (μB).
Fractional coordinates of all 4 atoms:
1 Y 0.500 0.000 0.000  0.02
2 Ce 0.000 0.000 0.500  0.63
3 Ce 0.000 0.500 0.000  0.63
4 Er 0.500 0.500 0.500  0.04



[3]
Ce2YEr after structural relaxation. Source: Alexandria, functional PBE.

Computed properties:
The total magnetization comes out at 1.50 μB per cell. The value obtained for the volume is 120.0 Å³/f.u. As for the symmetry: R-3m (166). The value obtained for the energy of formation from the pure elements is 0.2368 eV/atom. The value obtained for the energy relative to the lowest polymorph listed for this composition is 55 kJ/mol of formula units. As for the raw total energy: -5.487 eV/atom.

a = 3.354 Å, b = 3.354 Å, c = 12.468 Å
α = 82.27°, β = 82.27°, γ = 60.00°
Each line ends with the local moment (μB).
Fractional coordinates of all 4 atoms:
1 Er 0.000 0.000 0.000  0.01
2 Y 0.500 0.500 0.500  0.03
3 Ce 0.085 0.085 0.745  0.58
4 Ce 0.915 0.915 0.255  0.58



[4]
CeY4Er2 after structural relaxation. Source: Alexandria, functional PBE.

Computed properties:
The total magnetization comes out at 1.93 μB per cell. The value obtained for the volume is 227.0 Å³/f.u. As for the symmetry: Cmcm (63). The value obtained for the energy of formation from the pure elements is 0.1879 eV/atom. As for the raw total energy: -5.657 eV/atom.

a = 5.612 Å, b = 5.583 Å, c = 16.759 Å
α = 90.00°, β = 90.00°, γ = 120.17°
Each line ends with the local moment (μB).
Fractional coordinates of all 14 atoms:
1 Y 0.500 0.000 0.000  0.00
2 Y 0.830 0.660 0.145  0.00
3 Y 0.830 0.660 0.355  0.00
4 Y 0.170 0.340 0.855  0.00
5 Y 0.837 0.674 0.750  0.06
6 Y 0.500 0.000 0.500  0.00
7 Y 0.170 0.340 0.645  0.00
8 Y 0.163 0.326 0.250  0.06
9 Er 0.165 0.329 0.444  0.03
10 Er 0.165 0.329 0.056  0.03
11 Er 0.835 0.671 0.944  0.03
12 Er 0.835 0.671 0.556  0.03
13 Ce 0.496 0.992 0.250  0.72
14 Ce 0.504 0.008 0.750  0.72



[5]
CeY5Er after structural relaxation. Source: Alexandria, functional PBE.

Computed properties:
The total magnetization comes out at 3.92 μB per cell. The value obtained for the volume is 230.4 Å³/f.u. As for the symmetry: C2/c (15). The value obtained for the energy of formation from the pure elements is 0.2090 eV/atom. As for the raw total energy: -5.908 eV/atom.

a = 6.116 Å, b = 9.262 Å, c = 8.826 Å
α = 85.94°, β = 77.61°, γ = 70.72°
Each line ends with the local moment (μB).
Fractional coordinates of all 14 atoms:
1 Y 0.541 0.693 0.463  0.03
2 Y 0.766 0.693 0.037  0.03
3 Y 0.234 0.307 0.963  0.03
4 Y 0.143 0.714 0.250  0.11
5 Y 0.857 0.286 0.750  0.11
6 Y 0.388 0.625 0.854  0.03
7 Y 0.988 0.625 0.646  0.03
8 Y 0.459 0.307 0.537  0.03
9 Y 0.012 0.375 0.354  0.03
10 Y 0.612 0.375 0.146  0.03
11 Ce 0.000 0.000 0.500  0.98
12 Ce 0.000 0.000 0.000  0.98
13 Er 0.513 0.973 0.750  0.19
14 Er 0.487 0.027 0.250  0.19



[6]
CeY4Er3 after structural relaxation. Source: Alexandria, functional PBE.

Computed properties:
The total magnetization comes out at 1.00 μB per cell. The value obtained for the volume is 257.7 Å³/f.u. As for the symmetry: C2/m (12). The value obtained for the energy of formation from the pure elements is 0.1960 eV/atom. The value obtained for the energy relative to the lowest polymorph listed for this composition is 124 kJ/mol of formula units. As for the raw total energy: -5.489 eV/atom.

a = 3.428 Å, b = 6.692 Å, c = 11.853 Å
α = 106.48°, β = 98.31°, γ = 90.00°
Each line ends with the local moment (μB).
Fractional coordinates of all 8 atoms:
1 Ce 0.500 0.000 0.000  0.73
2 Y 0.259 0.762 0.519  -0.03
3 Y 0.124 0.369 0.248  0.01
4 Y 0.876 0.631 0.752  0.01
5 Y 0.741 0.238 0.481  -0.03
6 Er 0.124 0.883 0.248  0.02
7 Er 0.000 0.500 0.000  0.09
8 Er 0.876 0.117 0.752  0.02



[7]
CeY4Er10 after structural relaxation. Source: Alexandria, functional PBE.

Computed properties:
The total magnetization comes out at 0.78 μB per cell. The value obtained for the volume is 483.9 Å³/f.u. As for the symmetry: I4/mmm (139). The value obtained for the energy of formation from the pure elements is 0.2616 eV/atom. As for the raw total energy: -4.900 eV/atom.

a = 7.890 Å, b = 8.769 Å, c = 8.769 Å
α = 78.32°, β = 63.26°, γ = 63.26°
Each line ends with the local moment (μB).
Fractional coordinates of all 15 atoms:
1 Er 0.087 0.207 0.207  -0.03
2 Er 0.499 0.207 0.207  -0.03
3 Er 0.913 0.793 0.793  -0.03
4 Er 0.750 0.500 0.500  0.01
5 Er 0.501 0.793 0.793  -0.03
6 Er 0.294 0.793 0.207  -0.03
7 Er 0.706 0.207 0.793  -0.03
8 Er 0.250 0.500 0.500  0.01
9 Er 0.294 0.207 0.793  -0.03
10 Er 0.706 0.793 0.207  -0.03
11 Ce 0.000 0.000 0.000  -0.41
12 Y 0.228 0.545 0.000  -0.01
13 Y 0.772 0.455 0.000  -0.01
14 Y 0.772 0.000 0.455  -0.01
15 Y 0.228 0.000 0.545  -0.01



[8]
CeY3Er7 after structural relaxation. Source: Alexandria, functional PBE.

Computed properties:
The total magnetization comes out at 0.92 μB per cell. The value obtained for the volume is 362.5 Å³/f.u. As for the symmetry: P3m1 (156). The value obtained for the energy of formation from the pure elements is 0.2092 eV/atom. As for the raw total energy: -4.997 eV/atom.

a = 8.585 Å, b = 6.982 Å, c = 6.982 Å
α = 120.00°, β = 90.00°, γ = 90.00°
Each line ends with the local moment (μB).
Fractional coordinates of all 11 atoms:
1 Er 0.121 0.662 0.831  -0.01
2 Er 0.447 0.833 0.167  -0.03
3 Er 0.121 0.169 0.338  -0.01
4 Er 0.121 0.169 0.831  -0.01
5 Er 0.447 0.335 0.167  -0.03
6 Er 0.118 0.667 0.333  0.01
7 Er 0.447 0.833 0.665  -0.03
8 Y 0.782 0.499 0.998  -0.01
9 Y 0.782 0.499 0.501  -0.01
10 Y 0.782 0.002 0.501  -0.01
11 Ce 0.446 0.333 0.667  -0.58